(1)
## KCd2Pd (PBE)

Data for an optimized crystal structure of KCd2Pd.

a b c (Å): 6.6667 6.6667 6.6667
angles (deg): 41.72 41.72 41.72
Fractional coordinates of all 4 atoms:
K: 0.0000 0.0000 0.0000
Cd: 0.1981 0.1981 0.1981
Cd: 0.8019 0.8019 0.8019
Pd: 0.5000 0.5000 0.5000

Summary:
The total energy is -2.22 eV/atom. The calculation puts the formation energy at -0.186 eV per atom. As for the energy above the most stable polymorph in this dataset: 8 meV/atom.

(2)
## KCd3Pd (PBE)

Data for an optimized crystal structure of KCd3Pd.

a b c (Å): 4.0254 4.0254 8.8004
angles (deg): 90.00 90.00 90.00
Fractional coordinates of all 5 atoms:
K: 0.0000 0.0000 0.0000
Cd: 0.0000 0.0000 0.6320
Cd: 0.0000 0.5000 0.3531
Cd: 0.5000 0.0000 0.3531
Pd: 0.5000 0.5000 0.5987

Summary:
The total energy is -1.87 eV/atom. The calculation puts the formation energy at -0.063 eV per atom. As for the energy above the most stable polymorph in this dataset: 139 meV/atom.

(3)
## K2Cd3Pd (PBE)

Data for an optimized crystal structure of K2Cd3Pd.

a b c (Å): 6.3628 6.3628 9.4050
angles (deg): 90.00 90.00 120.00
Fractional coordinates of all 12 atoms:
K: 0.3333 0.6667 0.0583
K: 0.3333 0.6667 0.4417
K: 0.6667 0.3333 0.5583
K: 0.6667 0.3333 0.9417
Cd: 0.1601 0.3202 0.7500
Cd: 0.1601 0.8399 0.7500
Cd: 0.3202 0.1601 0.2500
Cd: 0.6798 0.8399 0.7500
Cd: 0.8399 0.1601 0.2500
Cd: 0.8399 0.6798 0.2500
Pd: 0.0000 0.0000 0.0000
Pd: 0.0000 0.0000 0.5000

Summary:
The total energy is -1.84 eV/atom. The calculation puts the formation energy at -0.152 eV per atom.

(4)
## KCd3Pd (PBE)

Data for an optimized crystal structure of KCd3Pd.

a b c (Å): 4.5878 4.5878 20.8222
angles (deg): 90.00 90.00 120.00
Fractional coordinates of all 10 atoms:
K: 0.0000 0.0000 0.0000
K: 0.0000 0.0000 0.5000
Cd: 0.0000 0.0000 0.2500
Cd: 0.0000 0.0000 0.7500
Cd: 0.3333 0.6667 0.1218
Cd: 0.3333 0.6667 0.3782
Cd: 0.6667 0.3333 0.6218
Cd: 0.6667 0.3333 0.8782
Pd: 0.3333 0.6667 0.2500
Pd: 0.6667 0.3333 0.7500

Summary:
The total energy is -1.69 eV/atom. The calculation puts the formation energy at 0.118 eV per atom. As for the energy above the most stable polymorph in this dataset: 319 meV/atom.

(5)
## K3Cd4Pd4 (PBE)

Data for an optimized crystal structure of K3Cd4Pd4.

a b c (Å): 7.2854 7.2854 7.2854
angles (deg): 109.47 109.47 109.47
Fractional coordinates of all 11 atoms:
K: 0.0000 0.5000 0.5000
K: 0.5000 0.0000 0.5000
K: 0.5000 0.5000 0.0000
Cd: 0.0000 0.0000 0.6038
Cd: 0.0000 0.6038 0.0000
Cd: 0.3962 0.3962 0.3962
Cd: 0.6038 0.0000 0.0000
Pd: 0.0000 0.0000 0.2353
Pd: 0.0000 0.2353 0.0000
Pd: 0.2353 0.0000 0.0000
Pd: 0.7647 0.7647 0.7647

Summary:
The total energy is -2.76 eV/atom. The calculation puts the formation energy at -0.244 eV per atom.

(6)
## KCd9Pd2 (PBE)

Data for an optimized crystal structure of KCd9Pd2.

a b c (Å): 9.2604 9.2604 9.2604
angles (deg): 100.00 100.00 130.75
Fractional coordinates of all 24 atoms:
K: 0.3750 0.6250 0.7500
K: 0.6250 0.3750 0.2500
Cd: 0.1250 0.8750 0.2500
Cd: 0.1401 0.5658 0.3316
Cd: 0.1401 0.8085 0.5743
Cd: 0.1915 0.2658 0.3316
Cd: 0.1915 0.8599 0.9257
Cd: 0.2658 0.1915 0.8316
Cd: 0.2658 0.4342 0.0743
Cd: 0.4342 0.2658 0.5743
Cd: 0.4342 0.8599 0.1684
Cd: 0.5658 0.1401 0.8316
Cd: 0.5658 0.7342 0.4257
Cd: 0.7342 0.5658 0.9257
Cd: 0.7342 0.8085 0.1684
Cd: 0.8085 0.1401 0.0743
Cd: 0.8085 0.7342 0.6684
Cd: 0.8599 0.1915 0.4257
Cd: 0.8599 0.4342 0.6684
Cd: 0.8750 0.1250 0.7500
Pd: 0.0000 0.0000 0.0000
Pd: 0.0000 0.0000 0.5000
Pd: 0.0000 0.5000 0.0000
Pd: 0.5000 0.0000 0.5000

Summary:
The total energy is -1.84 eV/atom. The calculation puts the formation energy at -0.193 eV per atom.

(7)
## KCd3Pd (PBE)

Data for an optimized crystal structure of KCd3Pd.

a b c (Å): 7.2296 7.2296 3.0832
angles (deg): 102.29 102.29 51.98
Fractional coordinates of all 5 atoms:
K: 0.0000 0.0000 0.0000
Cd: 0.4105 0.4105 0.4069
Cd: 0.4871 0.9825 0.7318
Cd: 0.9825 0.4871 0.7318
Pd: 0.5953 0.5953 0.0918

Summary:
The total energy is -1.96 eV/atom. The calculation puts the formation energy at -0.157 eV per atom. As for the energy above the most stable polymorph in this dataset: 44 meV/atom.

(8)
## KCd3Pd (PBE)

Data for an optimized crystal structure of KCd3Pd.

a b c (Å): 7.5528 7.5528 7.5528
angles (deg): 44.75 44.75 44.75
Fractional coordinates of all 5 atoms:
K: 0.0000 0.0000 0.0000
Cd: 0.4951 0.9994 0.9994
Cd: 0.9994 0.4951 0.9994
Cd: 0.9994 0.9994 0.4951
Pd: 0.7265 0.7265 0.7265

Summary:
The total energy is -1.58 eV/atom. The calculation puts the formation energy at 0.224 eV per atom. As for the energy above the most stable polymorph in this dataset: 426 meV/atom.

(9)
## KCd2Pd2 (PBE)

Data for an optimized crystal structure of KCd2Pd2.

a b c (Å): 8.4113 8.4113 2.9879
angles (deg): 90.00 90.00 90.00
Fractional coordinates of all 10 atoms:
K: 0.0000 0.0000 0.0000
K: 0.5000 0.5000 0.0000
Cd: 0.1290 0.3710 0.0000
Cd: 0.3710 0.8710 0.0000
Cd: 0.6290 0.1290 0.0000
Cd: 0.8710 0.6290 0.0000
Pd: 0.1652 0.6652 0.5000
Pd: 0.3348 0.1652 0.5000
Pd: 0.6652 0.8348 0.5000
Pd: 0.8348 0.3348 0.5000

Summary:
The total energy is -2.91 eV/atom. The calculation puts the formation energy at -0.243 eV per atom. As for the energy above the most stable polymorph in this dataset: 17 meV/atom.

(10)
## KCdPd2 (PBE)

Data for an optimized crystal structure of KCdPd2.

a b c (Å): 6.3609 6.3609 6.3609
angles (deg): 43.60 43.60 43.60
Fractional coordinates of all 4 atoms:
K: 0.0000 0.0000 0.0000
Cd: 0.5000 0.5000 0.5000
Pd: 0.1803 0.1803 0.1803
Pd: 0.8197 0.8197 0.8197

Summary:
The total energy is -3.28 eV/atom. The calculation puts the formation energy at -0.185 eV per atom.

(11)
## KCd3Pd (PBE)

Data for an optimized crystal structure of KCd3Pd.

a b c (Å): 8.9971 8.9971 6.2161
angles (deg): 99.30 99.30 86.38
Fractional coordinates of all 20 atoms:
K: 0.2394 0.7606 0.7500
K: 0.2399 0.7601 0.2500
K: 0.7601 0.2399 0.7500
K: 0.7606 0.2394 0.2500
Cd: 0.1046 0.3639 0.4991
Cd: 0.1045 0.3638 0.9992
Cd: 0.3638 0.1045 0.4992
Cd: 0.3639 0.1046 0.9991
Cd: 0.4004 0.4008 0.8348
Cd: 0.4008 0.4004 0.3348
Cd: 0.5992 0.5996 0.6652
Cd: 0.5996 0.5992 0.1652
Cd: 0.6361 0.8954 0.0009
Cd: 0.6362 0.8955 0.5008
Cd: 0.8955 0.6362 0.0008
Cd: 0.8954 0.6361 0.5009
Pd: 0.0925 0.0922 0.1709
Pd: 0.0922 0.0925 0.6709
Pd: 0.9078 0.9075 0.3291
Pd: 0.9075 0.9078 0.8291

Summary:
The total energy is -1.90 eV/atom. The calculation puts the formation energy at -0.089 eV per atom. As for the energy above the most stable polymorph in this dataset: 112 meV/atom.

(12)
## K2Cd2Pd (PBE)

Data for an optimized crystal structure of K2Cd2Pd.

a b c (Å): 7.3116 7.3116 5.7619
angles (deg): 90.00 90.00 90.00
Fractional coordinates of all 10 atoms:
K: 0.1802 0.3198 0.0000
K: 0.3198 0.8198 0.0000
K: 0.6802 0.1802 0.0000
K: 0.8198 0.6802 0.0000
Cd: 0.1500 0.6500 0.5000
Cd: 0.3500 0.1500 0.5000
Cd: 0.6500 0.8500 0.5000
Cd: 0.8500 0.3500 0.5000
Pd: 0.0000 0.0000 0.5000
Pd: 0.5000 0.5000 0.5000

Summary:
The total energy is -1.91 eV/atom. The calculation puts the formation energy at -0.063 eV per atom.

(13)
## KCd2Pd (PBE)

Data for an optimized crystal structure of KCd2Pd.

a b c (Å): 5.1225 5.1225 5.1225
angles (deg): 60.00 60.00 60.00
Fractional coordinates of all 4 atoms:
K: 0.0000 0.0000 0.0000
Cd: 0.2500 0.2500 0.2500
Cd: 0.7500 0.7500 0.7500
Pd: 0.5000 0.5000 0.5000

Summary:
The total energy is -2.00 eV/atom. The calculation puts the formation energy at 0.031 eV per atom. As for the energy above the most stable polymorph in this dataset: 225 meV/atom.

(14)
## KCd3Pd (PBE)

Data for an optimized crystal structure of KCd3Pd.

a b c (Å): 5.7886 6.3090 7.1730
angles (deg): 87.19 79.10 79.47
Fractional coordinates of all 10 atoms:
K: 0.0000 0.0000 0.0000
K: 0.4766 0.1381 0.3267
Cd: 0.1119 0.7277 0.5204
Cd: 0.3631 0.4105 0.8070
Cd: 0.4803 0.6370 0.1424
Cd: 0.5664 0.9220 0.7674
Cd: 0.9099 0.2174 0.5597
Cd: 0.9946 0.5016 0.1850
Pd: 0.6264 0.6149 0.4932
Pd: 0.8485 0.5241 0.8344

Summary:
The total energy is -1.98 eV/atom. The calculation puts the formation energy at -0.168 eV per atom. As for the energy above the most stable polymorph in this dataset: 33 meV/atom.

(15)
## K6CdPd (PBE)

Data for an optimized crystal structure of K6CdPd.

a b c (Å): 4.5463 9.8344 9.8344
angles (deg): 85.77 90.00 90.00
Fractional coordinates of all 8 atoms:
K: 0.0000 0.0000 0.0000
K: 0.0000 0.5592 0.8547
K: 0.0000 0.8547 0.5592
K: 0.5000 0.2537 0.6840
K: 0.5000 0.2718 0.2718
K: 0.5000 0.6840 0.2537
Cd: 0.0000 0.4829 0.4829
Pd: 0.5000 0.5847 0.5847

Summary:
The total energy is -1.61 eV/atom. The calculation puts the formation energy at -0.028 eV per atom.

(16)
## KCd4Pd (PBE)

Data for an optimized crystal structure of KCd4Pd.

a b c (Å): 7.9207 7.9207 9.3307
angles (deg): 90.00 90.00 144.10
Fractional coordinates of all 12 atoms:
K: 0.0923 0.9077 0.7500
K: 0.9077 0.0923 0.2500
Cd: 0.1768 0.8232 0.2500
Cd: 0.3010 0.6990 0.5212
Cd: 0.3010 0.6990 0.9788
Cd: 0.5000 0.5000 0.0000
Cd: 0.5000 0.5000 0.5000
Cd: 0.6990 0.3010 0.0212
Cd: 0.6990 0.3010 0.4788
Cd: 0.8232 0.1768 0.7500
Pd: 0.4126 0.5874 0.7500
Pd: 0.5874 0.4126 0.2500

Summary:
The total energy is -1.78 eV/atom. The calculation puts the formation energy at -0.120 eV per atom. As for the energy above the most stable polymorph in this dataset: 41 meV/atom.

(17)
## KCd3Pd (PBE)

Data for an optimized crystal structure of KCd3Pd.

a b c (Å): 3.0247 6.2848 6.5922
angles (deg): 87.42 76.97 79.00
Fractional coordinates of all 5 atoms:
K: 0.0000 0.0000 0.0000
Cd: 0.2619 0.7678 0.4723
Cd: 0.4816 0.2323 0.4819
Cd: 0.6880 0.5064 0.8304
Pd: 0.0125 0.4950 0.1982

Summary:
The total energy is -1.95 eV/atom. The calculation puts the formation energy at -0.145 eV per atom. As for the energy above the most stable polymorph in this dataset: 56 meV/atom.

(18)
## KCd2Pd (PBE)

Data for an optimized crystal structure of KCd2Pd.

a b c (Å): 3.4196 3.4196 8.6539
angles (deg): 90.00 90.00 90.00
Fractional coordinates of all 4 atoms:
K: 0.0000 0.0000 0.0000
Cd: 0.5000 0.5000 0.3212
Cd: 0.5000 0.5000 0.6788
Pd: 0.0000 0.0000 0.5000

Summary:
The total energy is -2.14 eV/atom. The calculation puts the formation energy at -0.109 eV per atom. As for the energy above the most stable polymorph in this dataset: 85 meV/atom.

(19)
## KCd3Pd (PBE)

Data for an optimized crystal structure of KCd3Pd.

a b c (Å): 4.9378 10.9294 8.8192
angles (deg): 90.00 90.00 90.00
Fractional coordinates of all 20 atoms:
K: 0.0020 0.2500 0.1460
K: 0.4980 0.7500 0.6460
K: 0.5020 0.2500 0.3540
K: 0.9980 0.7500 0.8540
Cd: 0.0001 0.0517 0.8428
Cd: 0.0001 0.4483 0.8428
Cd: 0.9999 0.5517 0.1572
Cd: 0.9999 0.9483 0.1572
Cd: 0.0014 0.2500 0.6069
Cd: 0.4986 0.7500 0.1069
Cd: 0.5001 0.0517 0.6572
Cd: 0.5001 0.4483 0.6572
Cd: 0.4999 0.5517 0.3428
Cd: 0.4999 0.9483 0.3428
Cd: 0.5014 0.2500 0.8931
Cd: 0.9986 0.7500 0.3931
Pd: 0.0000 0.0000 0.5000
Pd: 0.0000 0.5000 0.5000
Pd: 0.5000 0.0000 0.0000
Pd: 0.5000 0.5000 0.0000

Summary:
The total energy is -1.94 eV/atom. The calculation puts the formation energy at -0.137 eV per atom. As for the energy above the most stable polymorph in this dataset: 64 meV/atom.

(20)
## KCd3Pd (PBE)

Data for an optimized crystal structure of KCd3Pd.

a b c (Å): 5.8906 7.1252 7.2565
angles (deg): 63.73 73.69 88.85
Fractional coordinates of all 10 atoms:
K: 0.1751 0.0564 0.1626
K: 0.8249 0.9436 0.8374
Cd: 0.0784 0.4916 0.6843
Cd: 0.3200 0.6585 0.9143
Cd: 0.4167 0.1476 0.5876
Cd: 0.5833 0.8524 0.4124
Cd: 0.6800 0.3415 0.0857
Cd: 0.9216 0.5084 0.3157
Pd: 0.4190 0.5607 0.3013
Pd: 0.5810 0.4393 0.6987

Summary:
The total energy is -1.99 eV/atom. The calculation puts the formation energy at -0.187 eV per atom. As for the energy above the most stable polymorph in this dataset: 15 meV/atom.